Computed, not measured: a geometry-optimized ZrNbFeRe structure at the PBE-GGA level of DFT.

Cell: 6.3901 6.3901 6.3901 Å, 90.00 90.00 90.00°
With the nearest neighbours (Å) after each atom.
Space group F-43m (No. 216)
Symmetry-distinct sites (fractional):
Zr (0.0000, 0.0000, 0.0000) (multiplicity 4)  4 Fe 2.77, 4 Re 2.77
Nb (0.0000, 0.0000, 0.5000) (multiplicity 4)  4 Re 2.77, 4 Fe 2.77
Fe (0.2500, 0.2500, 0.2500) (multiplicity 4)  4 Nb 2.77, 4 Zr 2.77
Re (0.2500, 0.2500, 0.7500) (multiplicity 4)  4 Zr 2.77, 4 Nb 2.77

Properties
Energy of formation in kcal/mol of atoms: -3.9

***

Computed, not measured: a geometry-optimized MnZn2Cu7 structure at the PBE-GGA level of DFT.

Cell: 8.2754 13.7392 2.5308 Å, 90.00 90.00 90.00°
With the nearest neighbours (Å) after each atom.
Space group Cmmm (No. 65)
Symmetry-distinct sites (fractional):
Mn (0.0000, 0.0000, 0.0000) (multiplicity 2)  2 Mn 2.53, 8 Cu 2.72
Zn (0.0000, 0.1877, 0.5000) (multiplicity 4)  4 Cu 2.44-2.49, 2 Zn 2.53
Cu (0.0000, 0.3440, 0.0000) (multiplicity 4)  8 Cu 2.49-2.60, 2 Zn 2.49
Cu (0.0000, 0.5000, 0.5000) (multiplicity 2)  10 Cu 2.43-2.53
Cu (0.2478, 0.0913, 0.5000) (multiplicity 8)  6 Cu 2.43-2.60, 1 Zn 2.44, 2 Mn 2.72

Properties
Energy of formation in kcal/mol of atoms: 4.6

***

Computed, not measured: a geometry-optimized K2Sb3Au structure at the PBE-GGA level of DFT.

Cell: 9.4246 10.6966 17.2781 Å, 90.00 90.00 90.00°
With the nearest neighbours (Å) after each atom.
Space group Fmmm (No. 69)
Symmetry-distinct sites (fractional):
K (0.0000, 0.2496, 0.0000) (multiplicity 8)  2 Au 3.72, 8 Sb 3.81-3.93
K (0.2500, 0.2500, 0.2500) (multiplicity 8)  8 Sb 3.71-3.89, 4 Au 3.96
Sb (0.0000, 0.0000, 0.1897) (multiplicity 8)  1 Au 2.78, 2 Sb 2.88
Sb (0.2398, 0.0000, 0.0868) (multiplicity 16)  1 Au 2.68, 2 Sb 2.88-3.00
Au (0.0000, 0.0000, 0.3504) (multiplicity 8)  3 Sb 2.68-2.78

Properties
Total energy in eV/atom: -3.268

***

Let's list total magnetization in order: 0.000, 0.367, 0.000 μB per atom.
Let's list DOS at the Fermi energy in order: 8.23, 5.63, 22.69 states/eV/cell.